Entry 1:
Material: Tm5Ag4Au
Method: DFT, PBE
State: relaxed

Calculated values
The total magnetization is 0.0 μB per cell. Its formation energy is -455 meV/atom.

Unit cell a=3.5508 b=3.5508 c=18.1710 alpha=90.00 beta=90.00 gamma=90.00
Sites, in units of the cell vectors:
Tm  0.5000  0.5000  0.0972
Tm  0.5000  0.5000  0.2989
Tm  0.5000  0.5000  0.5000
Tm  0.5000  0.5000  0.7011
Tm  0.5000  0.5000  0.9028
Ag  0.0000  0.0000  0.1996
Ag  0.0000  0.0000  0.3997
Ag  0.0000  0.0000  0.6003
Ag  0.0000  0.0000  0.8004
Au  0.0000  0.0000  0.0000

---

Entry 2:
Material: TmAgAu
Method: DFT, PBE
State: relaxed

Calculated values
The total magnetization is 0.0 μB per cell. Its formation energy is -446 meV/atom. The value obtained for the energy above the most stable polymorph in this dataset is 188 meV/atom.

Unit cell a=4.6945 b=4.6945 c=4.6945 alpha=60.00 beta=60.00 gamma=60.00
Sites, in units of the cell vectors:
Tm  0.0000  0.0000  0.0000
Au  0.2500  0.2500  0.2500
Ag  0.5000  0.5000  0.5000

---

Entry 3:
Material: Tm3Ag4Au2
Method: DFT, PBE
State: relaxed

Calculated values
The total magnetization is 0.0 μB per cell. Its formation energy is -426 meV/atom.

Unit cell a=5.2507 b=8.7581 c=8.7581 alpha=75.43 beta=81.45 gamma=81.45
Sites, in units of the cell vectors:
Tm  0.0748  0.9591  0.7030
Tm  0.4252  0.2970  0.0409
Tm  0.9252  0.0409  0.2970
Tm  0.5748  0.7030  0.9591
Tm  0.2500  0.3814  0.6186
Tm  0.7500  0.6186  0.3814
Ag  0.5177  0.0649  0.8214
Ag  0.9823  0.1786  0.9351
Ag  0.4823  0.9351  0.1786
Ag  0.0177  0.8214  0.0649
Ag  0.6281  0.8473  0.5982
Ag  0.8719  0.4018  0.1527
Ag  0.3719  0.1527  0.4018
Ag  0.1281  0.5982  0.8473
Au  0.1845  0.7417  0.4819
Au  0.3155  0.5181  0.2583
Au  0.8155  0.2583  0.5181
Au  0.6845  0.4819  0.7417

---

Entry 4:
Material: Tm6AgAu5
Method: DFT, PBE
State: relaxed

Calculated values
The total magnetization is 0.0 μB per cell. Its formation energy is -808 meV/atom.

Unit cell a=5.0496 b=7.0481 c=7.9892 alpha=90.00 beta=71.65 gamma=90.00
Sites, in units of the cell vectors:
Tm  0.8317  0.7499  0.3364
Tm  0.8317  0.2501  0.3364
Tm  0.5000  0.2540  0.0000
Tm  0.5000  0.7460  0.0000
Tm  0.1683  0.7499  0.6636
Tm  0.1683  0.2501  0.6636
Au  0.6678  0.5000  0.6646
Au  0.3399  0.0000  0.3199
Au  0.0000  0.5000  0.0000
Au  0.6601  0.0000  0.6801
Au  0.3322  0.5000  0.3354
Ag  0.0000  0.0000  0.0000

---

Entry 5:
Material: Tm3Ag2Au2
Method: DFT, PBE
State: relaxed

Calculated values
The total magnetization is 0.0 μB per cell. Its formation energy is -549 meV/atom.

Unit cell a=3.6820 b=3.5461 c=12.2435 alpha=90.00 beta=81.35 gamma=90.00
Sites, in units of the cell vectors:
Tm  0.8560  0.0000  0.2880
Tm  0.0000  0.0000  0.0000
Tm  0.1440  0.0000  0.7120
Ag  0.7082  0.5000  0.5836
Ag  0.2918  0.5000  0.4164
Au  0.5747  0.5000  0.8507
Au  0.4253  0.5000  0.1493

---

Entry 6:
Material: Tm3AgAu
Method: DFT, PBE
State: relaxed

Calculated values
The total magnetization is 0.0 μB per cell. Its formation energy is -382 meV/atom. The value obtained for the energy above the most stable polymorph in this dataset is 94 meV/atom.

Unit cell a=3.7952 b=7.0801 c=9.7730 alpha=90.00 beta=90.00 gamma=90.00
Sites, in units of the cell vectors:
Tm  0.7500  0.7500  0.0579
Tm  0.2500  0.2500  0.9421
Tm  0.7500  0.0004  0.6985
Tm  0.7500  0.4996  0.6985
Tm  0.2500  0.9996  0.3015
Tm  0.2500  0.5004  0.3015
Ag  0.7500  0.7500  0.4479
Ag  0.2500  0.2500  0.5521
Au  0.7500  0.2500  0.1623
Au  0.2500  0.7500  0.8377

---

Entry 7:
Material: TmAg6Au12
Method: DFT, PBE
State: relaxed

Calculated values
The total magnetization is 0.0 μB per cell. Its formation energy is -59 meV/atom.

Unit cell a=7.3156 b=7.3156 c=7.3156 alpha=100.83 beta=100.83 gamma=100.83
Sites, in units of the cell vectors:
Tm  0.0000  0.0000  0.0000
Ag  0.8208  0.8232  0.5695
Ag  0.4305  0.1792  0.1768
Ag  0.1768  0.4305  0.1792
Ag  0.1792  0.1768  0.4305
Ag  0.5695  0.8208  0.8232
Ag  0.8232  0.5695  0.8208
Au  0.8185  0.4050  0.4030
Au  0.4030  0.8185  0.4050
Au  0.4050  0.4030  0.8185
Au  0.1815  0.5950  0.5970
Au  0.5970  0.1815  0.5950
Au  0.5950  0.5970  0.1815
Au  0.9993  0.7428  0.2583
Au  0.2572  0.7417  0.0007
Au  0.7417  0.0007  0.2572
Au  0.0007  0.2572  0.7417
Au  0.7428  0.2583  0.9993
Au  0.2583  0.9993  0.7428

---

Entry 8:
Material: Tm8Ag2Au
Method: DFT, PBE
State: relaxed

Calculated values
The total magnetization is 0.0 μB per cell. Its formation energy is -249 meV/atom.

Unit cell a=5.1113 b=6.8178 c=9.1196 alpha=106.01 beta=106.27 gamma=90.00
Sites, in units of the cell vectors:
Tm  0.4076  0.5473  0.8153
Tm  0.6658  0.9754  0.3316
Tm  0.7987  0.6811  0.5974
Tm  0.9724  0.2223  0.9449
Tm  0.2013  0.3189  0.4026
Tm  0.3342  0.0246  0.6684
Tm  0.5924  0.4527  0.1847
Tm  0.0276  0.7777  0.0551
Ag  0.8164  0.2785  0.6329
Ag  0.1836  0.7215  0.3671
Au  0.5000  0.0000  0.0000

---

Copy entry 1 word for word.
Material: Tm5Ag4Au
Method: DFT, PBE
State: relaxed

Calculated values
The total magnetization is 0.0 μB per cell. Its formation energy is -455 meV/atom.

Unit cell a=3.5508 b=3.5508 c=18.1710 alpha=90.00 beta=90.00 gamma=90.00
Sites, in units of the cell vectors:
Tm  0.5000  0.5000  0.0972
Tm  0.5000  0.5000  0.2989
Tm  0.5000  0.5000  0.5000
Tm  0.5000  0.5000  0.7011
Tm  0.5000  0.5000  0.9028
Ag  0.0000  0.0000  0.1996
Ag  0.0000  0.0000  0.3997
Ag  0.0000  0.0000  0.6003
Ag  0.0000  0.0000  0.8004
Au  0.0000  0.0000  0.0000